[1]
Below is BaTm2In3 after structural relaxation, with properties calculated at the GGA-PBE level.

Summary:
Formation energy in eV per atom: -0.41

a = 3.8367 Å, b = 3.8367 Å, c = 12.0357 Å
α = 90.00°, β = 90.00°, γ = 90.00°
Space group P4/mmm (No. 123)
Symmetry-distinct sites (fractional):
1 Ba 0.0000 0.0000 0.0000
2 Tm 0.0000 0.0000 0.3505
3 In 0.5000 0.5000 0.2059
4 In 0.5000 0.5000 0.5000

=====

[2]
Below is SrAl3Tc after structural relaxation, with properties calculated at the GGA-PBE level.

Summary:
Formation energy in eV per atom: -0.10

a = 6.4259 Å, b = 5.1079 Å, c = 7.8259 Å
α = 90.00°, β = 112.13°, γ = 90.00°
Space group P2_1/m (No. 11)
Symmetry-distinct sites (fractional):
1 Sr 0.1692 0.2500 0.3676
2 Al 0.2071 0.7500 0.0591
3 Al 0.4013 0.5042 0.8112
4 Tc 0.2005 0.2500 0.9899

=====

[3]
Below is MnZn2Pd4 after structural relaxation, with properties calculated at the GGA-PBE level.

Summary:
Formation energy in eV per atom: -0.31

a = 6.0223 Å, b = 6.0223 Å, c = 6.1041 Å
α = 90.00°, β = 90.00°, γ = 90.00°
Space group I4/mmm (No. 139)
Symmetry-distinct sites (fractional):
1 Mn 0.0000 0.0000 0.0000
2 Zn 0.0000 0.5000 0.0000
3 Pd 0.2500 0.2500 0.2500

=====

[4]
Below is Pu2Sb4PdPt3 after structural relaxation, with properties calculated at the GGA-PBE level.

Summary:
Uncorrected formation energy in kJ per mole of atoms: -56.18

a = 4.6643 Å, b = 4.6643 Å, c = 10.4877 Å
α = 90.00°, β = 90.00°, γ = 90.00°
Space group P-4m2 (No. 115)
Symmetry-distinct sites (fractional):
1 Pu 0.0000 0.5000 0.2411
2 Sb 0.0000 0.0000 0.5000
3 Sb 0.0000 0.5000 0.8713
4 Sb 0.5000 0.5000 0.5000
5 Pd 0.5000 0.5000 0.0000
6 Pt 0.0000 0.0000 0.0000
7 Pt 0.0000 0.5000 0.6257

=====

[5]
Below is BaMnAs2Se after structural relaxation, with properties calculated at the GGA-PBE level.

Summary:
Uncorrected formation energy in kJ per mole of atoms: -51.16

a = 4.7422 Å, b = 4.7422 Å, c = 5.5463 Å
α = 90.00°, β = 90.00°, γ = 90.00°
Space group P4/mmm (No. 123)
Symmetry-distinct sites (fractional):
1 Ba 0.0000 0.0000 0.0000
2 Mn 0.5000 0.5000 0.5000
3 As 0.0000 0.5000 0.5000
4 Se 0.5000 0.5000 0.0000

=====

[6]
Below is ZrCrMo2 after structural relaxation, with properties calculated at the GGA-PBE level.

Summary:
Formation energy in eV per atom: 0.07

a = 3.1691 Å, b = 3.1691 Å, c = 6.4710 Å
α = 90.00°, β = 90.00°, γ = 90.00°
Space group P4mm (No. 99)
Symmetry-distinct sites (fractional):
1 Zr 0.0000 0.0000 0.0000
2 Cr 0.5000 0.5000 0.2608
3 Mo 0.0000 0.0000 0.4842
4 Mo 0.5000 0.5000 0.7220

=====

| no. | total DFT energy (no corrections) (eV/atom) | magnetic moment (μB per cell) |
| --- | --- | --- |
| 1 | -3.59 | 0.0 |
| 2 | -4.75 | 0.0 |
| 3 | -4.95 | 9.4 |
| 4 | -7.43 | 10.9 |
| 5 | -5.31 | 2.4 |
| 6 | -9.89 | 0.0 |